Entry from Alexandria: a geometry-optimized NaNp2WO8 structure (GGA+U).

The calculation puts the total energy at -104.1 eV per formula unit.

The space group is Cmmm (No. 65) and the conventional cell measures 6.972, 7.064 and 6.836 Å, with angles of 90.00, 90.00 and 90.00 degrees. The asymmetric unit holds Na at (0.000, 0.000, 0.000), Np at (0.000, 0.500, 0.251), W at (0.000, 0.000, 0.500), O at (0.000, 0.291, 0.500), O at (0.000, 0.324, 0.000) and O at (0.199, 0.000, 0.292).